(1)
VASP calculation (SCAN) on a crystal of P3Pb5BrO12 relaxed with PBEsol.

Calculated values
**Total energy**: -26.017 eV/atom
**Symmetry**: P6_3/m
**Volume**: 15.238 A^3/atom

Cell lengths 10.0783, 10.0783, 7.2758 Å; angles 90.00, 90.00, 120.00 degrees
Positions (direct):
P1 0.0366 0.6250 0.2500
P2 0.3750 0.4116 0.2500
P3 0.4116 0.0366 0.7500
P4 0.5884 0.9634 0.2500
P5 0.6250 0.5884 0.7500
P6 0.9634 0.3750 0.7500
Pb1 0.0094 0.2609 0.2500
Pb2 0.2515 0.9906 0.2500
Pb3 0.2609 0.2515 0.7500
Pb4 0.3333 0.6667 0.5051
Pb5 0.3333 0.6667 0.9949
Pb6 0.6667 0.3333 0.0051
Pb7 0.6667 0.3333 0.4949
Pb8 0.7391 0.7485 0.2500
Pb9 0.7485 0.0094 0.7500
Pb10 0.9906 0.7391 0.7500
Br1 0.0000 0.0000 0.0000
Br2 0.0000 0.0000 0.5000
O1 0.0932 0.7304 0.0777
O2 0.0932 0.7304 0.4223
O3 0.1240 0.5318 0.2500
O4 0.1381 0.4851 0.7500
O5 0.2696 0.3628 0.0777
O6 0.2696 0.3628 0.4223
O7 0.3470 0.8619 0.7500
O8 0.3628 0.0932 0.5777
O9 0.3628 0.0932 0.9223
O10 0.4078 0.8760 0.2500
O11 0.4682 0.5922 0.2500
O12 0.4851 0.3470 0.2500
O13 0.5149 0.6530 0.7500
O14 0.5318 0.4078 0.7500
O15 0.5922 0.1240 0.7500
O16 0.6372 0.9068 0.0777
O17 0.6372 0.9068 0.4223
O18 0.6530 0.1381 0.2500
O19 0.7304 0.6372 0.5777
O20 0.7304 0.6372 0.9223
O21 0.8619 0.5149 0.2500
O22 0.8760 0.4682 0.7500
O23 0.9068 0.2696 0.5777
O24 0.9068 0.2696 0.9223

(2)
VASP calculation (SCAN) on a crystal of RbPBrO2 relaxed with PBEsol.

Calculated values
**Total energy**: -12.112 eV/atom
**Symmetry**: P4/mmm
**Volume**: 17.714 A^3/atom

Cell lengths 4.3488, 4.3488, 4.6832 Å; angles 90.00, 90.00, 90.00 degrees
Positions (direct):
Rb1 0.0000 0.0000 0.0000
P1 0.5000 0.5000 0.0000
Br1 0.5000 0.5000 0.5000
O1 0.0000 0.5000 0.5000
O2 0.5000 0.0000 0.5000

(3)
VASP calculation (SCAN) on a crystal of SnPBrO2 relaxed with PBEsol.

Calculated values
**Total energy**: -15.131 eV/atom
**Symmetry**: P4/mmm
**Volume**: 15.707 A^3/atom

Cell lengths 3.9851, 3.9851, 4.9452 Å; angles 90.00, 90.00, 90.00 degrees
Positions (direct):
Sn1 0.0000 0.0000 0.0000
P1 0.5000 0.5000 0.0000
Br1 0.5000 0.5000 0.5000
O1 0.0000 0.5000 0.5000
O2 0.5000 0.0000 0.5000

(4)
VASP calculation (SCAN) on a crystal of Sr5P3BrO12 relaxed with PBEsol.

Calculated values
**Total energy**: -14.450 eV/atom
**Symmetry**: P6_3/m
**Volume**: 14.634 A^3/atom

Cell lengths 9.9465, 9.9465, 7.1736 Å; angles 90.00, 90.00, 120.00 degrees
Positions (direct):
Sr1 0.0060 0.2620 0.2500
Sr2 0.2560 0.9940 0.2500
Sr3 0.2620 0.2560 0.7500
Sr4 0.3333 0.6667 0.0018
Sr5 0.3333 0.6667 0.4982
Sr6 0.6667 0.3333 0.5018
Sr7 0.6667 0.3333 0.9982
Sr8 0.7380 0.7440 0.2500
Sr9 0.7440 0.0060 0.7500
Sr10 0.9940 0.7380 0.7500
P1 0.0371 0.4089 0.7500
P2 0.3718 0.9629 0.7500
P3 0.4089 0.3718 0.2500
P4 0.5911 0.6282 0.7500
P5 0.6282 0.0371 0.2500
P6 0.9629 0.5911 0.2500
Br1 0.0000 0.0000 0.0000
Br2 0.0000 0.0000 0.5000
O1 0.0917 0.3583 0.5747
O2 0.0917 0.3583 0.9253
O3 0.1248 0.5899 0.7500
O4 0.1415 0.6585 0.2500
O5 0.2666 0.9083 0.5747
O6 0.2666 0.9083 0.9253
O7 0.3415 0.4829 0.2500
O8 0.3583 0.2666 0.0747
O9 0.3583 0.2666 0.4253
O10 0.4101 0.5349 0.7500
O11 0.4651 0.8752 0.7500
O12 0.4829 0.1415 0.7500
O13 0.5171 0.8585 0.2500
O14 0.5349 0.1248 0.2500
O15 0.5899 0.4651 0.2500
O16 0.6417 0.7334 0.5747
O17 0.6417 0.7334 0.9253
O18 0.6585 0.5171 0.7500
O19 0.7334 0.0917 0.0747
O20 0.7334 0.0917 0.4253
O21 0.8585 0.3415 0.7500
O22 0.8752 0.4101 0.2500
O23 0.9083 0.6417 0.0747
O24 0.9083 0.6417 0.4253

(5)
VASP calculation (SCAN) on a crystal of TaP2BrO relaxed with PBEsol.

Calculated values
**Total energy**: -22.953 eV/atom
**Symmetry**: P4/mmm
**Volume**: 18.773 A^3/atom

Cell lengths 4.9268, 4.9268, 3.8671 Å; angles 90.00, 90.00, 90.00 degrees
Positions (direct):
Ta1 0.0000 0.0000 0.0000
P1 0.0000 0.5000 0.0000
P2 0.5000 0.0000 0.0000
Br1 0.5000 0.5000 0.5000
O1 0.0000 0.0000 0.5000

(6)
VASP calculation (SCAN) on a crystal of TeP2BrO relaxed with PBEsol.

Calculated values
**Total energy**: -15.737 eV/atom
**Symmetry**: P4/mmm
**Volume**: 18.660 A^3/atom

Cell lengths 4.8881, 4.8881, 3.9047 Å; angles 90.00, 90.00, 90.00 degrees
Positions (direct):
Te1 0.0000 0.0000 0.0000
P1 0.0000 0.5000 0.5000
P2 0.5000 0.0000 0.5000
Br1 0.5000 0.5000 0.5000
O1 0.5000 0.5000 0.0000

Repeat the sixth record exactly.
VASP calculation (SCAN) on a crystal of TeP2BrO relaxed with PBEsol.

Calculated values
**Total energy**: -15.737 eV/atom
**Symmetry**: P4/mmm
**Volume**: 18.660 A^3/atom

Cell lengths 4.8881, 4.8881, 3.9047 Å; angles 90.00, 90.00, 90.00 degrees
Positions (direct):
Te1 0.0000 0.0000 0.0000
P1 0.0000 0.5000 0.5000
P2 0.5000 0.0000 0.5000
Br1 0.5000 0.5000 0.5000
O1 0.5000 0.5000 0.0000

Please write out number 5 again, unchanged.
VASP calculation (SCAN) on a crystal of TaP2BrO relaxed with PBEsol.

Calculated values
**Total energy**: -22.953 eV/atom
**Symmetry**: P4/mmm
**Volume**: 18.773 A^3/atom

Cell lengths 4.9268, 4.9268, 3.8671 Å; angles 90.00, 90.00, 90.00 degrees
Positions (direct):
Ta1 0.0000 0.0000 0.0000
P1 0.0000 0.5000 0.0000
P2 0.5000 0.0000 0.0000
Br1 0.5000 0.5000 0.5000
O1 0.0000 0.0000 0.5000

Among the records above, which one has the lowest total energy?
P3Pb5BrO12

Number 3 is which compound?
SnPBrO2